Arrangement one

VASP calculation (GGA-PBE) on a relaxed structure of Dy2Bi2O5.

The structure belongs to space group P4/mmm (No. 123); the cell edges are 4.252, 4.252 and 7.776 Å and the angles 90.00°, 90.00° and 90.00°. The inequivalent atoms are Dy at (0.000, 0.000, 0.000), Dy at (0.000, 0.000, 0.500), Bi at (0.500, 0.500, 0.222), O at (0.000, 0.500, 0.298) and O at (0.500, 0.500, 0.500).

As for the crystal system: tetragonal. The value obtained for the spin magnetization is 0.238 μB per formula unit.

Arrangement two

VASP calculation (GGA-PBE) on a relaxed structure of Dy2Bi2O5.

The structure belongs to space group P4/mmm (No. 123); the cell edges are 3.959, 3.959 and 9.399 Å and the angles 90.00°, 90.00° and 90.00°. The inequivalent atoms are Dy at (0.000, 0.000, 0.248), Bi at (0.500, 0.500, 0.000), Bi at (0.500, 0.500, 0.500), O at (0.000, 0.000, 0.000) and O at (0.000, 0.500, 0.348).

As for the crystal system: tetragonal. The value obtained for the spin magnetization is 0.017 μB per formula unit.

arrangement two ends up most stable, edging out the next structure by 72.8 kJ/mol of atoms.

Arrangement one

VASP calculation (GGA-PBE) on a relaxed structure of DyBiPb.

The structure belongs to space group F-43m (No. 216); the cell edges are 7.424, 7.424 and 7.424 Å and the angles 90.00°, 90.00° and 90.00°. The inequivalent atoms are Dy at (0.000, 0.000, 0.000), Bi at (0.250, 0.250, 0.750) and Pb at (0.250, 0.250, 0.250).

As for the crystal system: cubic. The value obtained for the spin magnetization is 0.001 μB per formula unit.

Arrangement two

VASP calculation (GGA-PBE) on a relaxed structure of DyBiPb.

The structure belongs to space group F-43m (No. 216); the cell edges are 7.450, 7.450 and 7.450 Å and the angles 90.00°, 90.00° and 90.00°. The inequivalent atoms are Dy at (0.000, 0.000, 0.000), Bi at (0.250, 0.250, 0.250) and Pb at (0.000, 0.000, 0.500).

As for the crystal system: cubic. The value obtained for the spin magnetization is 0.008 μB per formula unit.

arrangement one ends up most stable, edging out the next structure by 6.8 kJ/mol of atoms.

Arrangement one

VASP calculation (GGA-PBE) on a relaxed structure of DyBiSb.

The structure belongs to space group F-43m (No. 216); the cell edges are 7.360, 7.360 and 7.360 Å and the angles 90.00°, 90.00° and 90.00°. The inequivalent atoms are Dy at (0.000, 0.000, 0.000), Bi at (0.000, 0.000, 0.500) and Sb at (0.250, 0.250, 0.750).

As for the crystal system: cubic. The value obtained for the spin magnetization is 0.017 μB per formula unit.

Arrangement two

VASP calculation (GGA-PBE) on a relaxed structure of DyBiSb.

The structure belongs to space group F-43m (No. 216); the cell edges are 7.387, 7.387 and 7.387 Å and the angles 90.00°, 90.00° and 90.00°. The inequivalent atoms are Dy at (0.000, 0.000, 0.000), Bi at (0.250, 0.250, 0.750) and Sb at (0.250, 0.250, 0.250).

As for the crystal system: cubic. The value obtained for the spin magnetization is 0.001 μB per formula unit.

arrangement two ends up most stable, edging out the next structure by 8.0 kJ/mol of atoms.